Density functional theory data (GGA-PBE) for crystalline LiCBr at its relaxed geometry.

POSCAR file:
```
LiCBr
1.0
-1.1699 -1.7047 6.2799
1.6348 -6.3013 -4.8862
4.9759 0.4727 1.0553
Li C Br
4 4 4
direct
0.8234 0.1469 0.2500 Li
0.1766 0.8531 0.7500 Li
0.6766 0.8531 0.7500 Li
0.3234 0.1469 0.2500 Li
0.5303 0.0605 0.5897 C
0.9697 0.9395 0.0897 C
0.4697 0.9395 0.4103 C
0.0303 0.0605 0.9103 C
0.6480 0.2960 0.9359 Br
0.8520 0.7040 0.4359 Br
0.3520 0.7040 0.0641 Br
0.1480 0.2960 0.5641 Br
```

Results
The calculation puts the magnetic moment at 0.00 μB per formula unit. The density comes out at 2.614 g cm⁻³. The calculated volume is 20.93 A^3/atom. The space group is Cmce, No. 64. Its raw total energy is -0.15073 Ha/atom.

=====

Density functional theory data (GGA-PBE) for crystalline Cs2GaBiO4 at its relaxed geometry.

POSCAR file:
```
Cs2GaBiO4
1.0
-5.1600 -2.6516 0.2806
0.1374 -6.2579 3.5043
-4.8956 4.2420 10.1737
O Cs Ga Bi
8 4 2 2
direct
0.9146 0.6746 0.5798 O
0.8354 0.8254 0.9202 O
0.3392 0.8254 0.0798 O
0.1690 0.3254 0.4202 O
0.5810 0.1746 0.0798 O
0.2444 0.1746 0.9202 O
0.5056 0.3254 0.5798 O
0.4108 0.6746 0.4202 O
0.9309 0.5000 0.1382 Cs
0.8191 0.0000 0.3618 Cs
0.5691 0.5000 0.8618 Cs
0.1809 0.0000 0.6382 Cs
0.2500 0.5000 0.5000 Ga
0.5000 0.0000 0.0000 Ga
0.7500 0.5000 0.5000 Bi
0.0000 0.0000 0.0000 Bi
```

Results
The calculation puts the magnetic moment at 0.00 μB per formula unit. The density comes out at 4.531 g cm⁻³. The calculated volume is 27.87 A^3/atom. The space group is Fddd, No. 70. Its raw total energy is -0.17865 Ha/atom.

=====

Density functional theory data (GGA-PBE) for crystalline TaTe2Se at its relaxed geometry.

POSCAR file:
```
TaTe2Se
1.0
-0.6959 7.7694 4.7998
-1.5620 5.3549 7.2644
1.8587 6.0711 6.6010
Ta Se Te
1 1 2
direct
0.7500 0.7500 0.7500 Ta
0.2500 0.2500 0.2500 Se
0.4885 0.4885 0.4885 Te
0.0115 0.0115 0.0115 Te
```

Results
The calculation puts the magnetic moment at 0.00 μB per formula unit. The density comes out at 8.744 g cm⁻³. The calculated volume is 24.45 A^3/atom. The space group is R-3m, No. 166. Its raw total energy is -0.19826 Ha/atom.

=====

Density functional theory data (GGA-PBE) for crystalline PmTi2Pd9 at its relaxed geometry.

POSCAR file:
```
PmTi2Pd9
1.0
4.0195 0.0000 0.0000
0.0000 4.0195 0.0000
0.0000 0.0000 12.0097
Pd Ti Pm
9 2 1
direct
0.5000 0.0000 0.8158 Pd
0.5000 0.5000 0.6586 Pd
0.5000 0.5000 0.3414 Pd
0.5000 0.0000 0.5000 Pd
0.5000 0.5000 0.0000 Pd
0.0000 0.5000 0.1842 Pd
0.5000 0.0000 0.1842 Pd
0.0000 0.5000 0.5000 Pd
0.0000 0.5000 0.8158 Pd
0.0000 0.0000 0.3374 Ti
0.0000 0.0000 0.6626 Ti
0.0000 0.0000 0.0000 Pm
```

Results
The calculation puts the magnetic moment at 0.00 μB per formula unit. The formation energy from the elements comes out at -0.6907 eV per atom. The density comes out at 10.257 g cm⁻³. The calculated volume is 16.17 A^3/atom. The space group is P4/mmm, No. 123. Its raw total energy is -0.23141 Ha/atom.

=====

Density functional theory data (GGA-PBE) for crystalline AcMg4Al4 at its relaxed geometry.

POSCAR file:
```
AcMg4Al4
1.0
-4.1664 -5.2079 0.6206
4.2423 -3.8124 -3.5122
4.3900 -2.5503 8.0709
Al Mg Ac
8 8 2
direct
0.5000 0.1976 0.8005 Al
0.0000 0.3024 0.6995 Al
0.0000 0.6976 0.6995 Al
0.6976 0.0000 0.3005 Al
0.1976 0.5000 0.1995 Al
0.8024 0.5000 0.1995 Al
0.5000 0.8024 0.8005 Al
0.3024 0.0000 0.3005 Al
0.2383 0.5000 0.9026 Mg
0.5000 0.7617 0.0974 Mg
0.7617 0.5000 0.9026 Mg
0.0000 0.2617 0.4026 Mg
0.2617 0.0000 0.5974 Mg
0.5000 0.2383 0.0974 Mg
0.0000 0.7383 0.4026 Mg
0.7383 0.0000 0.5974 Mg
0.0000 0.0000 0.0000 Ac
0.5000 0.5000 0.5000 Ac
```

Results
The calculation puts the magnetic moment at 0.00 μB per formula unit. The formation energy from the elements comes out at -0.0224 eV per atom. The density comes out at 3.355 g cm⁻³. The calculated volume is 23.77 A^3/atom. The space group is P4_2/nmc, No. 137. Its raw total energy is -0.10477 Ha/atom.

=====

Density functional theory data (GGA-PBE) for crystalline YSiC2S at its relaxed geometry.

POSCAR file:
```
YSiC2S
1.0
-2.4963 1.9063 1.9578
-4.5448 -4.0326 -1.8684
0.6817 -2.1334 2.9465
S C Y Si
1 2 1 1
direct
0.5000 0.5000 0.5000 S
0.0000 0.0000 0.5000 C
0.5000 0.0000 0.0000 C
0.0000 0.5000 0.0000 Y
0.0000 0.0000 0.0000 Si
```

Results
The calculation puts the magnetic moment at 0.00 μB per formula unit. The density comes out at 3.301 g cm⁻³. The calculated volume is 17.42 A^3/atom. The space group is P4/mmm, No. 123. Its raw total energy is -0.23074 Ha/atom.

=====

Density functional theory data (GGA-PBE) for crystalline BaCaAg at its relaxed geometry.

POSCAR file:
```
BaCaAg
1.0
-0.6350 -4.2401 0.8548
-0.5571 -1.3443 -7.0821
7.6990 -1.2367 -0.3692
Ba Ca Ag
2 2 2
direct
0.6228 0.4546 0.9629 Ba
0.1239 0.9545 0.2903 Ba
0.6235 0.9546 0.7528 Ca
0.6242 0.4545 0.4653 Ca
0.1236 0.6602 0.6730 Ag
0.1236 0.2488 0.6732 Ag
```

Results
The calculation puts the magnetic moment at 0.00 μB per formula unit. The formation energy from the elements comes out at -0.1543 eV per atom. The density comes out at 3.840 g cm⁻³. The calculated volume is 41.12 A^3/atom. The space group is Pm, No. 6. The calculation puts the excess energy over the best structure of this formula in the dataset at 41 meV/atom. Its raw total energy is -0.08867 Ha/atom.

=====

Density functional theory data (GGA-PBE) for crystalline Ta3Tc2Mo3 at its relaxed geometry.

POSCAR file:
```
Ta3Tc2Mo3
1.0
-0.8754 -2.4808 1.7795
5.1805 -3.8540 -2.8246
1.1905 3.7664 5.8366
Tc Mo Ta
2 3 3
direct
0.0000 0.6667 0.3333 Tc
0.0000 0.3333 0.6667 Tc
0.0000 0.0000 0.2073 Mo
0.0000 0.7927 0.7927 Mo
0.0000 0.2073 0.0000 Mo
0.5000 0.5894 0.0000 Ta
0.5000 0.0000 0.5894 Ta
0.5000 0.4106 0.4106 Ta
```

Results
The calculation puts the magnetic moment at 0.00 μB per formula unit. The formation energy from the elements comes out at 0.2276 eV per atom. The density comes out at 12.479 g cm⁻³. The calculated volume is 17.08 A^3/atom. The space group is P-62m, No. 189. Its raw total energy is -0.39948 Ha/atom.

=====

Density functional theory data (GGA-PBE) for crystalline DyTm14Pu at its relaxed geometry.

POSCAR file:
```
DyTm14Pu
1.0
6.8951 0.9827 0.0000
-0.9796 6.8955 0.0000
0.0000 0.0000 9.8264
Tm Dy Pu
14 1 1
direct
0.1249 0.3749 0.0000 Tm
0.1250 0.8750 0.0000 Tm
0.8767 0.6267 0.2512 Tm
0.8766 0.1234 0.2512 Tm
0.6251 0.8751 0.0000 Tm
0.6248 0.8748 0.5000 Tm
0.3734 0.6266 0.7489 Tm
0.3733 0.1233 0.7488 Tm
0.3734 0.6266 0.2511 Tm
0.8766 0.1234 0.7488 Tm
0.1252 0.3752 0.5000 Tm
0.6250 0.3750 0.0000 Tm
0.8767 0.6267 0.7488 Tm
0.3733 0.1233 0.2512 Tm
0.6251 0.3749 0.5000 Dy
0.1249 0.8751 0.5000 Pu
```

Results
The calculation puts the magnetic moment at 6.03 μB per formula unit. The formation energy from the elements comes out at 0.0400 eV per atom. The density comes out at 9.656 g cm⁻³. The calculated volume is 29.79 A^3/atom. The space group is P4/mmm, No. 123. Its raw total energy is -0.18580 Ha/atom.

=====

Density functional theory data (GGA-PBE) for crystalline Ce3Sm2PuP6 at its relaxed geometry.

POSCAR file:
```
Ce3Sm2PuP6
1.0
7.0677 -0.0011 0.0003
-3.5331 6.1212 0.0003
-1.1787 -2.0409 6.6581
P Sm Ce Pu
6 2 3 1
direct
0.5881 0.9165 0.7491 P
0.4119 0.0835 0.2509 P
0.9165 0.5881 0.7491 P
0.7556 0.7556 0.2511 P
0.0835 0.4119 0.2509 P
0.2444 0.2444 0.7489 P
0.6664 0.3336 0.0000 Sm
0.3336 0.6664 0.0000 Sm
0.5000 0.5000 0.5000 Ce
0.1677 0.8323 0.5000 Ce
0.8323 0.1677 0.5000 Ce
0.0000 0.0000 0.0000 Pu
```

Results
The calculation puts the magnetic moment at 6.75 μB per formula unit. The formation energy from the elements comes out at -1.4666 eV per atom. The density comes out at 6.635 g cm⁻³. The calculated volume is 24.00 A^3/atom. The space group is C2/m, No. 12. Its raw total energy is -0.28061 Ha/atom.

=====

Density functional theory data (GGA-PBE) for crystalline B5C7 at its relaxed geometry.

POSCAR file:
```
B5C7
1.0
3.3671 -0.1202 -5.3137
-1.0487 2.6084 -6.7836
0.8730 0.0221 7.2910
C B
7 5
direct
0.2467 0.1436 0.1031 C
0.1191 0.4561 0.6630 C
0.7246 0.6309 0.0937 C
0.4071 0.8313 0.5758 C
0.9058 0.3294 0.5764 C
0.6028 0.9576 0.6452 C
0.5085 0.4985 0.0099 C
0.0158 0.0019 0.0139 B
0.0198 0.7988 0.2211 B
0.6028 0.1569 0.4459 B
0.0973 0.6546 0.4426 B
0.4997 0.2904 0.2092 B
```

Results
The calculation puts the magnetic moment at 0.00 μB per formula unit. The formation energy from the elements comes out at 0.2791 eV per atom. The density comes out at 2.996 g cm⁻³. The calculated volume is 6.38 A^3/atom. The space group is Cm, No. 8. The calculation puts the excess energy over the best structure of this formula in the dataset at 21 meV/atom. Its raw total energy is -0.28972 Ha/atom.

=====

Density functional theory data (GGA-PBE) for crystalline CrCd2Ag at its relaxed geometry.

POSCAR file:
```
CrCd2Ag
1.0
5.1006 -0.0309 0.0622
4.1433 2.9750 0.0622
1.0147 0.3232 5.0798
Ag Cd Cr
1 2 1
direct
0.2500 0.2500 0.2500 Ag
0.0014 0.0014 0.9982 Cd
0.4986 0.4986 0.5018 Cd
0.7500 0.7500 0.7500 Cr
```

Results
The calculation puts the magnetic moment at 4.12 μB per formula unit. The formation energy from the elements comes out at 0.2616 eV per atom. The density comes out at 8.240 g cm⁻³. The calculated volume is 19.38 A^3/atom. The space group is C2/m, No. 12. Its raw total energy is -0.12181 Ha/atom.